DFT (PBE) results for FeCu2Mo after structural relaxation.

ΔH_f (0 K): 0.25 eV per atom
Crystal system: monoclinic
Relative energy among the computed polymorphs: 0.094 eV per atom

The structure in CIF format:
```
data_FeCu2Mo
_chemical_formula_sum 'Fe1 Cu2 Mo1'
_symmetry_space_group_name_H-M 'P 1 2/m 1'
_symmetry_Int_Tables_number 10
_symmetry_space_group_name_Hall '-P 2y'
_cell_length_a 2.531
_cell_length_b 4.271
_cell_length_c 4.905
_cell_angle_alpha 90.00
_cell_angle_beta 103.79
_cell_angle_gamma 90.00
loop_
_atom_site_label
_atom_site_fract_x
_atom_site_fract_y
_atom_site_fract_z
Fe1 0.000 0.000 0.000
Cu1 0.182 0.500 0.761
Mo1 0.500 0.000 0.500
```

***

DFT (PBE) results for LiSc2Br after structural relaxation.

Formation energy (no corrections): -218.3 meV/atom
Crystal system: monoclinic
Relative energy among the computed polymorphs: 0.205 eV per atom

The structure in CIF format:
```
data_LiSc2Br
_chemical_formula_sum 'Li2 Sc4 Br2'
_symmetry_space_group_name_H-M 'C 1 m 1'
_symmetry_Int_Tables_number 8
_symmetry_space_group_name_Hall 'C -2y'
_cell_length_a 11.508
_cell_length_b 3.284
_cell_length_c 5.204
_cell_angle_alpha 90.00
_cell_angle_beta 116.82
_cell_angle_gamma 90.00
loop_
_atom_site_label
_atom_site_fract_x
_atom_site_fract_y
_atom_site_fract_z
Li1 0.000 0.000 0.000
Sc1 0.058 0.500 0.558
Sc2 0.290 0.500 0.289
Br1 0.289 0.000 0.786
```

***

DFT (PBE) results for HfTaTiMo after structural relaxation.

ΔH_f (0 K): 0.00 eV per atom
Crystal system: cubic

The structure in CIF format:
```
data_HfTaTiMo
_chemical_formula_sum 'Hf4 Ta4 Ti4 Mo4'
_symmetry_space_group_name_H-M 'F -4 3 m'
_symmetry_Int_Tables_number 216
_symmetry_space_group_name_Hall 'F -4 2 3'
_cell_length_a 6.602
_cell_length_b 6.602
_cell_length_c 6.602
_cell_angle_alpha 90.00
_cell_angle_beta 90.00
_cell_angle_gamma 90.00
loop_
_atom_site_label
_atom_site_fract_x
_atom_site_fract_y
_atom_site_fract_z
Hf1 0.000 0.000 0.000
Ta1 0.000 0.000 0.500
Ti1 0.250 0.250 0.750
Mo1 0.250 0.250 0.250
```

***

DFT (PBE) results for Ba2InSbH after structural relaxation.

Crystal system: tetragonal

The structure in CIF format:
```
data_Ba2InSbH
_chemical_formula_sum 'Ba2 In1 Sb1 H1'
_symmetry_space_group_name_H-M 'P 4/m m m'
_symmetry_Int_Tables_number 123
_symmetry_space_group_name_Hall '-P 4 2'
_cell_length_a 5.581
_cell_length_b 5.581
_cell_length_c 4.832
_cell_angle_alpha 90.00
_cell_angle_beta 90.00
_cell_angle_gamma 90.00
loop_
_atom_site_label
_atom_site_fract_x
_atom_site_fract_y
_atom_site_fract_z
Ba1 0.000 0.500 0.000
In1 0.000 0.000 0.500
Sb1 0.500 0.500 0.500
H1 0.000 0.000 0.000
```

***

E values (in eV per atom) by entry order: -6.623, -4.281, -10.134, -3.335.
Fermi-level density of states values (in states/eV/atom) by entry order: 0.8002, 1.1072, 1.8913, 0.6905.